[1]
Density functional theory data (GGA-PBE) for a geometry-optimized Ti6Ga5Si structure.

Calculated values
symmetry	C2/m (12)
E_form (uncorrected)	-256	meV/atom
M_tot	0.0	μB per formula unit

The structure in CIF format:
```
data_Ti6Ga5Si
_chemical_formula_sum 'Ti6 Ga5 Si1'
_space_group_name_H-M_alt 'P 1'
_space_group_IT_number 1
_cell_length_a 6.7884
_cell_length_b 6.9225
_cell_length_c 5.5883
_cell_angle_alpha 51.73
_cell_angle_beta 84.57
_cell_angle_gamma 81.21
loop_
_space_group_symop_operation_xyz
'x,y,z'
loop_
_atom_site_label
_atom_site_type_symbol
_atom_site_fract_x
_atom_site_fract_y
_atom_site_fract_z
Ti1 Ti 0.7576 0.0790 0.3252
Ti2 Ti 0.2424 0.5958 0.3252
Ti3 Ti 0.2468 0.2378 0.0000
Ti4 Ti 0.7532 0.7622 0.0000
Ti5 Ti 0.7576 0.4042 0.6748
Ti6 Ti 0.2424 0.9210 0.6748
Ga1 Ga 0.5000 0.1767 0.6466
Ga2 Ga 0.0000 0.3383 0.3235
Ga3 Ga 0.5000 0.5000 0.0000
Ga4 Ga 0.0000 0.6617 0.6765
Ga5 Ga 0.5000 0.8233 0.3534
Si1 Si 0.0000 0.0000 0.0000
```

=====

[2]
Density functional theory data (GGA-PBE) for a geometry-optimized Re2Os structure.

Calculated values
symmetry	C2/m (12)
M_tot	0.0	μB per formula unit
excess energy over the best structure of this formula in the dataset	0	meV/atom
DFT formation energy	-0.07	eV per atom

The structure in CIF format:
```
data_Re2Os
_chemical_formula_sum 'Re4 Os2'
_space_group_name_H-M_alt 'P 1'
_space_group_IT_number 1
_cell_length_a 2.7624
_cell_length_b 5.2247
_cell_length_c 6.5332
_cell_angle_alpha 76.67
_cell_angle_beta 90.00
_cell_angle_gamma 105.33
loop_
_space_group_symop_operation_xyz
'x,y,z'
loop_
_atom_site_label
_atom_site_type_symbol
_atom_site_fract_x
_atom_site_fract_y
_atom_site_fract_z
Os1 Os 0.3889 0.7778 0.7225
Os2 Os 0.3333 0.6667 0.3331
Re1 Re 0.9970 0.9940 0.0005
Re2 Re 0.6682 0.3364 0.6672
Re3 Re 0.0540 0.1081 0.3884
Re4 Re 0.7252 0.4505 0.0551
```

=====

[3]
Density functional theory data (GGA-PBE) for a geometry-optimized Sc4Ga3Pd structure.

Calculated values
symmetry	P4/mmm (123)
M_tot	0.0	μB per formula unit
excess energy over the best structure of this formula in the dataset	0	meV/atom
DFT formation energy	-0.68	eV per atom

The structure in CIF format:
```
data_Sc4Ga3Pd
_chemical_formula_sum 'Sc4 Ga3 Pd1'
_space_group_name_H-M_alt 'P 1'
_space_group_IT_number 1
_cell_length_a 3.3318
_cell_length_b 3.3318
_cell_length_c 13.4927
_cell_angle_alpha 90.00
_cell_angle_beta 90.00
_cell_angle_gamma 90.00
loop_
_space_group_symop_operation_xyz
'x,y,z'
loop_
_atom_site_label
_atom_site_type_symbol
_atom_site_fract_x
_atom_site_fract_y
_atom_site_fract_z
Sc1 Sc 0.0000 0.0000 0.8790
Sc2 Sc 0.0000 0.0000 0.1210
Sc3 Sc 0.0000 0.0000 0.3733
Sc4 Sc 0.0000 0.0000 0.6267
Pd1 Pd 0.5000 0.5000 0.0000
Ga1 Ga 0.5000 0.5000 0.2467
Ga2 Ga 0.5000 0.5000 0.5000
Ga3 Ga 0.5000 0.5000 0.7533
```